Record 1
The following is a meta-GGA SCAN calculation of a crystal of K2ScIr relaxed with PBEsol, from the Alexandria database.

The formation energy comes out at 82 kJ/mol of formula units. For the energy above the most stable polymorph in this dataset, the calculation gives 0.00 eV/f.u. Its density of states at the Fermi level is 5.8 states/eV/cell.

The space group is Imm2 (No. 44) and the conventional cell measures 3.563, 6.014 and 12.662 Å, with angles of 90.00, 90.00 and 90.00 degrees. The distinct sites, in fractional coordinates, are K at (0.000, 0.000, 0.000), K at (0.000, 0.500, 0.181), Sc at (0.000, 0.500, 0.834) and Ir at (0.000, 0.000, 0.461).

=====

Record 2
The following is a meta-GGA SCAN calculation of a crystal of CrCo2Ir relaxed with PBEsol, from the Alexandria database.

The formation energy comes out at -2 kJ/mol of formula units. For the energy above the most stable polymorph in this dataset, the calculation gives 0.36 eV/f.u. Its density of states at the Fermi level is 4.0 states/eV/cell.

The space group is Pmm2 (No. 25) and the conventional cell measures 2.582, 3.498 and 5.077 Å, with angles of 90.00, 90.00 and 90.00 degrees. The distinct sites, in fractional coordinates, are Cr at (0.000, 0.000, 0.000), Co at (0.000, 0.000, 0.540), Co at (0.500, 0.500, 0.759) and Ir at (0.500, 0.500, 0.264).

=====

Record 3
The following is a meta-GGA SCAN calculation of a crystal of MgInPb2 relaxed with PBEsol, from the Alexandria database.

The formation energy comes out at -9 kJ/mol of formula units. Its density of states at the Fermi level is 3.8 states/eV/cell.

The space group is I4/mmm (No. 139) and the conventional cell measures 4.758, 4.758 and 9.480 Å, with angles of 90.00, 90.00 and 90.00 degrees. The distinct sites, in fractional coordinates, are Mg at (0.000, 0.000, 0.000), In at (0.000, 0.000, 0.500) and Pb at (0.000, 0.500, 0.250).

=====

Record 4
The following is a meta-GGA SCAN calculation of a crystal of NpAl3Pd2 relaxed with PBEsol, from the Alexandria database.

The formation energy comes out at -320 kJ/mol of formula units. Its density of states at the Fermi level is 12.7 states/eV/cell.

The space group is P6/mmm (No. 191) and the conventional cell measures 5.3460, 5.3460 and 4.1541 Å, with angles of 90.00, 90.00 and 120.00 degrees. The distinct sites, in fractional coordinates, are Np at (0.0000, 0.0000, 0.0000), Al at (0.0000, 0.5000, 0.5000) and Pd at (0.3333, 0.6667, 0.0000).

=====

Record 5
The following is a meta-GGA SCAN calculation of a crystal of LiZr2Os relaxed with PBEsol, from the Alexandria database.

The formation energy comes out at -166 kJ/mol of formula units. For the energy above the most stable polymorph in this dataset, the calculation gives 0.00 eV/f.u. Its density of states at the Fermi level is 9.3 states/eV/cell.

The space group is Fm-3m (No. 225) and the conventional cell measures 6.528, 6.528 and 6.528 Å, with angles of 90.00, 90.00 and 90.00 degrees. The distinct sites, in fractional coordinates, are Li at (0.000, 0.000, 0.000), Zr at (0.250, 0.250, 0.250) and Os at (0.000, 0.000, 0.500).

=====

Record 6
The following is a meta-GGA SCAN calculation of a crystal of MgTaSe2 relaxed with PBEsol, from the Alexandria database.

The raw formation energy is -0.65 eV/f.u. Its density of states at the Fermi level is 4.3 states/eV/cell.

The space group is Cmm2 (No. 35) and the conventional cell measures 3.512, 4.831 and 9.607 Å, with angles of 90.00, 90.00 and 90.00 degrees. The distinct sites, in fractional coordinates, are Mg at (0.000, 0.000, 0.000), Ta at (0.000, 0.500, 0.245), Se at (0.000, 0.000, 0.439) and Se at (0.000, 0.500, 0.792).

=====

Record 7
The following is a meta-GGA SCAN calculation of a crystal of RbCd2TeW relaxed with PBEsol, from the Alexandria database.

The raw formation energy is 5.75 eV/f.u. Its density of states at the Fermi level is 3.9 states/eV/cell.

The space group is P4/mmm (No. 123) and the conventional cell measures 5.385, 5.385 and 6.250 Å, with angles of 90.00, 90.00 and 90.00 degrees. The distinct sites, in fractional coordinates, are Rb at (0.000, 0.000, 0.000), Cd at (0.000, 0.500, 0.500), Te at (0.500, 0.500, 0.000) and W at (0.000, 0.000, 0.500).

=====

Record 8
The following is a meta-GGA SCAN calculation of a crystal of Li2TeRh relaxed with PBEsol, from the Alexandria database.

The raw formation energy is -2.16 eV/f.u. Its density of states at the Fermi level is 2.7 states/eV/cell.

The space group is I4/mmm (No. 139) and the conventional cell measures 3.853, 3.853 and 8.278 Å, with angles of 90.00, 90.00 and 90.00 degrees. The distinct sites, in fractional coordinates, are Li at (0.000, 0.500, 0.250), Te at (0.000, 0.000, 0.000) and Rh at (0.000, 0.000, 0.500).